# AgSn2Pt2 | the Alexandria database | PBE-GGA | relaxed
# - DOS(E_F) (states/eV per cell) = 3.77
# - DFT formation energy (eV/atom) = -0.121
# - E above lowest polymorph (eV/f.u.) = 0.76
data_AgSn2Pt2
_chemical_formula_sum 'Ag2 Sn4 Pt4'
_cell_length_a 3.9789
_cell_length_b 3.9789
_cell_length_c 13.5030
_cell_angle_alpha 90.00
_cell_angle_beta 90.00
_cell_angle_gamma 90.00
_symmetry_space_group_name_H-M 'I 4/m m m'
_symmetry_Int_Tables_number 139
_symmetry_space_group_name_Hall '-I 4 2'
loop_
_atom_site_label
_atom_site_type_symbol
_atom_site_fract_x
_atom_site_fract_y
_atom_site_fract_z
_atom_site_occupancy
Ag1 Ag 0.0000 0.0000 0.0000 1
Sn1 Sn 0.0000 0.0000 0.3882 1
Pt1 Pt 0.0000 0.5000 0.2500 1

# AgSn2Pt2 | the Alexandria database | PBE-GGA | relaxed
# - DOS(E_F) (states/eV per cell) = 6.88
# - DFT formation energy (eV/atom) = -0.152
# - E above lowest polymorph (eV/f.u.) = 0.61
data_AgSn2Pt2
_chemical_formula_sum 'Ag2 Sn4 Pt4'
_cell_length_a 7.8046
_cell_length_b 7.8046
_cell_length_c 3.2411
_cell_angle_alpha 90.00
_cell_angle_beta 90.00
_cell_angle_gamma 90.00
_symmetry_space_group_name_H-M 'P 4/m b m'
_symmetry_Int_Tables_number 127
_symmetry_space_group_name_Hall '-P 4 2ab'
loop_
_atom_site_label
_atom_site_type_symbol
_atom_site_fract_x
_atom_site_fract_y
_atom_site_fract_z
_atom_site_occupancy
Ag1 Ag 0.0000 0.0000 0.0000 1
Sn1 Sn 0.1588 0.3412 0.0000 1
Pt1 Pt 0.1371 0.6371 0.5000 1

# AgSn2Pt2 | the Alexandria database | PBE-GGA | relaxed
# - DOS(E_F) (states/eV per cell) = 4.75
# - DFT formation energy (eV/atom) = -0.274
# - E above lowest polymorph (eV/f.u.) = 0.00
data_AgSn2Pt2
_chemical_formula_sum 'Ag2 Sn4 Pt4'
_cell_length_a 7.4341
_cell_length_b 7.4341
_cell_length_c 3.5662
_cell_angle_alpha 90.00
_cell_angle_beta 90.00
_cell_angle_gamma 90.00
_symmetry_space_group_name_H-M 'P 4/m b m'
_symmetry_Int_Tables_number 127
_symmetry_space_group_name_Hall '-P 4 2ab'
loop_
_atom_site_label
_atom_site_type_symbol
_atom_site_fract_x
_atom_site_fract_y
_atom_site_fract_z
_atom_site_occupancy
Ag1 Ag 0.0000 0.0000 0.0000 1
Sn1 Sn 0.1627 0.3373 0.5000 1
Pt1 Pt 0.1376 0.6376 0.0000 1

# AgSn3Pt | the Alexandria database | PBE-GGA | relaxed
# - DOS(E_F) (states/eV per cell) = 3.82
# - DFT formation energy (eV/atom) = 0.220
# - E above lowest polymorph (eV/f.u.) = 0.00
data_AgSn3Pt
_chemical_formula_sum 'Ag1 Sn3 Pt1'
_cell_length_a 5.2397
_cell_length_b 5.2397
_cell_length_c 5.2397
_cell_angle_alpha 90.00
_cell_angle_beta 90.00
_cell_angle_gamma 90.00
_symmetry_space_group_name_H-M 'P m -3 m'
_symmetry_Int_Tables_number 221
_symmetry_space_group_name_Hall '-P 4 2 3'
loop_
_atom_site_label
_atom_site_type_symbol
_atom_site_fract_x
_atom_site_fract_y
_atom_site_fract_z
_atom_site_occupancy
Ag1 Ag 0.0000 0.0000 0.0000 1
Sn1 Sn 0.0000 0.5000 0.5000 1
Pt1 Pt 0.5000 0.5000 0.5000 1

# Sr2Ag3Sn4Pt | the Alexandria database | PBE-GGA | relaxed
# - DOS(E_F) (states/eV per cell) = 5.01
# - DFT formation energy (eV/atom) = -0.434
data_Sr2Ag3Sn4Pt
_chemical_formula_sum 'Sr2 Ag3 Sn4 Pt1'
_cell_length_a 4.7602
_cell_length_b 4.7602
_cell_length_c 11.3045
_cell_angle_alpha 90.00
_cell_angle_beta 90.00
_cell_angle_gamma 90.00
_symmetry_space_group_name_H-M 'P -4 m 2'
_symmetry_Int_Tables_number 115
_symmetry_space_group_name_Hall 'P -4 -2'
loop_
_atom_site_label
_atom_site_type_symbol
_atom_site_fract_x
_atom_site_fract_y
_atom_site_fract_z
_atom_site_occupancy
Sr1 Sr 0.0000 0.5000 0.2366 1
Ag1 Ag 0.0000 0.0000 0.0000 1
Ag2 Ag 0.0000 0.5000 0.6406 1
Sn1 Sn 0.0000 0.0000 0.5000 1
Sn2 Sn 0.0000 0.5000 0.8809 1
Sn3 Sn 0.5000 0.5000 0.5000 1
Pt1 Pt 0.5000 0.5000 0.0000 1

# Sr2AgSn3Pt4 | the Alexandria database | PBE-GGA | relaxed
# - DOS(E_F) (states/eV per cell) = 4.17
# - DFT formation energy (eV/atom) = -0.698
data_Sr2AgSn3Pt4
_chemical_formula_sum 'Sr2 Ag1 Sn3 Pt4'
_cell_length_a 4.6810
_cell_length_b 4.6810
_cell_length_c 10.7014
_cell_angle_alpha 90.00
_cell_angle_beta 90.00
_cell_angle_gamma 90.00
_symmetry_space_group_name_H-M 'P -4 m 2'
_symmetry_Int_Tables_number 115
_symmetry_space_group_name_Hall 'P -4 -2'
loop_
_atom_site_label
_atom_site_type_symbol
_atom_site_fract_x
_atom_site_fract_y
_atom_site_fract_z
_atom_site_occupancy
Sr1 Sr 0.0000 0.5000 0.2492 1
Ag1 Ag 0.5000 0.5000 0.0000 1
Sn1 Sn 0.0000 0.0000 0.0000 1
Sn2 Sn 0.0000 0.5000 0.6220 1
Pt1 Pt 0.0000 0.0000 0.5000 1
Pt2 Pt 0.0000 0.5000 0.8662 1
Pt3 Pt 0.5000 0.5000 0.5000 1

# Ta2AgSnPt | the Alexandria database | PBE-GGA | relaxed
# - DOS(E_F) (states/eV per cell) = 6.82
# - DFT formation energy (eV/atom) = 1.727
data_Ta2AgSnPt
_chemical_formula_sum 'Ta2 Ag1 Sn1 Pt1'
_cell_length_a 5.0945
_cell_length_b 5.0945
_cell_length_c 4.8498
_cell_angle_alpha 90.00
_cell_angle_beta 90.00
_cell_angle_gamma 90.00
_symmetry_space_group_name_H-M 'P 4/m m m'
_symmetry_Int_Tables_number 123
_symmetry_space_group_name_Hall '-P 4 2'
loop_
_atom_site_label
_atom_site_type_symbol
_atom_site_fract_x
_atom_site_fract_y
_atom_site_fract_z
_atom_site_occupancy
Ta1 Ta 0.0000 0.5000 0.0000 1
Ag1 Ag 0.0000 0.0000 0.5000 1
Sn1 Sn 0.5000 0.5000 0.0000 1
Pt1 Pt 0.5000 0.5000 0.5000 1

# TbAgSnPt | the Alexandria database | PBE-GGA | relaxed
# - DOS(E_F) (states/eV per cell) = 10.54
# - DFT formation energy (eV/atom) = -0.675
data_TbAgSnPt
_chemical_formula_sum 'Tb4 Ag4 Sn4 Pt4'
_cell_length_a 6.9018
_cell_length_b 6.9018
_cell_length_c 6.9018
_cell_angle_alpha 90.00
_cell_angle_beta 90.00
_cell_angle_gamma 90.00
_symmetry_space_group_name_H-M 'F -4 3 m'
_symmetry_Int_Tables_number 216
_symmetry_space_group_name_Hall 'F -4 2 3'
loop_
_atom_site_label
_atom_site_type_symbol
_atom_site_fract_x
_atom_site_fract_y
_atom_site_fract_z
_atom_site_occupancy
Tb1 Tb 0.0000 0.0000 0.0000 1
Ag1 Ag 0.2500 0.2500 0.2500 1
Sn1 Sn 0.0000 0.0000 0.5000 1
Pt1 Pt 0.2500 0.2500 0.7500 1